This record from the Alexandria database describes Nd5Al2Ga2 after structural relaxation. The functional is PBE.

Geometry as POSCAR:
```
Nd5Al2Ga2
1.0
8.0088 -4.0349 0.0000
8.0088 4.0349 0.0000
0.0000 0.0000 7.9035
Nd Al Ga
10 4 4
Cartesian
0.0000 0.0000 0.0000 Nd
5.7161 2.5227 5.3397 Nd
5.7161 1.5121 1.3880 Nd
10.3015 2.5227 5.3397 Nd
10.3015 1.5121 1.3880 Nd
8.0088 0.0000 3.9518 Nd
5.7161 -1.5121 6.5156 Nd
5.7161 -2.5227 2.5638 Nd
10.3015 -1.5121 6.5156 Nd
10.3015 -2.5227 2.5638 Nd
8.0088 3.1042 3.0510 Al
8.0088 0.9306 7.0028 Al
8.0088 -0.9306 0.9008 Al
8.0088 -3.1042 4.8525 Al
3.3588 0.0000 0.0000 Ga
4.6500 0.0000 3.9518 Ga
11.3675 0.0000 3.9518 Ga
12.6588 0.0000 0.0000 Ga
```

Energy of formation = -0.3665 eV per atom
Symmetry = Cmce, No. 64
Magnetization = 0.000 μB per cell
VASP energy = -81.4 eV for the cell shown